CaLaTe2 PBEsol optimized geometry; space group = R-3m; electronic total energy = -5.2266 eV per atom; formation energy without anion corrections = -1594 meV/atom; size of the total moment = 0.0 μB per formula unit
1.0
-4.301 -1.009 -0.513
-2.156 -2.233 3.185
-4.037 5.321 4.103
Ca Te La
1 2 1
Direct
0.000 0.000 0.000
0.747 0.747 0.760
0.253 0.253 0.240
0.500 0.500 0.500

***

BaHgAs2Se PBEsol optimized geometry; space group = P4/mmm; electronic total energy = -2.4421 eV per atom; formation energy without anion corrections = 914 meV/atom; size of the total moment = 4.0 μB per formula unit
1.0
-0.269 -3.819 4.605
4.006 -3.961 -3.051
4.992 2.943 2.732
As Hg Se Ba
2 1 1 1
Direct
0.000 0.000 0.500
0.000 0.500 0.000
0.500 0.500 0.500
0.500 0.000 0.000
0.000 0.000 0.000

***

Sr2Ag2Hg PBEsol optimized geometry; space group = P4/mbm; electronic total energy = -2.4907 eV per atom; size of the total moment = 0.0 μB per formula unit; ΔH_f (0 K) = -316.7 meV per atom
1.0
4.349 0.000 0.000
0.000 7.936 0.000
0.000 0.000 7.936
Sr Hg Ag
4 2 4
Direct
0.500 0.179 0.679
0.500 0.679 0.821
0.500 0.821 0.321
0.500 0.321 0.179
0.000 0.000 0.000
0.000 0.500 0.500
0.000 0.378 0.878
0.000 0.878 0.622
0.000 0.622 0.122
0.000 0.122 0.378